(1)
Computed, not measured: a geometry-optimized Tb5PmTm6 structure at the GGA-PBE level of DFT.

It has space group C2/m (No. 12), with a = 6.123 Å, b = 10.596 Å, c = 11.653 Å, α = 90.00°, β = 100.05° and γ = 90.00°. Symmetry generates all atoms from Tb at (0.000, 0.000, 0.000), Tb at (0.000, 0.167, 0.500), Tb at (0.000, 0.333, 0.000), Pm at (0.000, 0.500, 0.500), Tm at (0.249, 0.000, 0.751) and Tm at (0.250, 0.167, 0.249).

Its formation energy from the elements is 0.02 eV/atom. Its energy above the most stable polymorph in this dataset is 0 meV per atom.



(2)
Computed, not measured: a geometry-optimized NaSrDy2Se4 structure at the GGA-PBE level of DFT.

It has space group P2/m (No. 10), with a = 7.180 Å, b = 4.163 Å, c = 7.477 Å, α = 90.00°, β = 108.72° and γ = 90.00°. Symmetry generates all atoms from Na at (0.000, 0.000, 0.000), Sr at (0.500, 0.500, 0.000), Dy at (0.000, 0.500, 0.500), Dy at (0.500, 0.000, 0.500), Se at (0.240, 0.000, 0.732) and Se at (0.254, 0.500, 0.270).

The calculation puts the raw formation energy at -1.802 eV/atom.



(3)
Computed, not measured: a geometry-optimized EuCu4Pb structure at the GGA-PBE level of DFT.

It has space group F-43m (No. 216), with a = 7.465 Å, b = 7.465 Å, c = 7.465 Å, α = 90.00°, β = 90.00° and γ = 90.00°. Symmetry generates all atoms from Eu at (0.000, 0.000, 0.000), Cu at (0.125, 0.125, 0.375) and Pb at (0.250, 0.250, 0.750).

Its formation energy from the elements is -0.11 eV/atom.



(4)
Computed, not measured: a geometry-optimized BaIn3H structure at the GGA-PBE level of DFT.

It has space group Pm-3m (No. 221), with a = 6.666 Å, b = 6.666 Å, c = 6.666 Å, α = 90.00°, β = 90.00° and γ = 90.00°. Symmetry generates all atoms from Ba at (0.000, 0.000, 0.000), In at (0.000, 0.000, 0.500) and H at (0.500, 0.500, 0.500).

Its energy above the most stable polymorph in this dataset is 1156 meV per atom.



Computed D(E_F) (states/eV/cell) in order:
30.97; 2.60; 42.17; 8.83
Computed total magnetization (μB/f.u.) in order:
0.0; 0.0; 7.0; 0.1